Entry 1:
# Ac2Ga3Ni4Sn

A relaxed Ac2Ga3Ni4Sn crystal (PBE-GGA, the Alexandria database).

E = -49.513 eV/cell
ΔH_f (0 K) = -509 meV per atom

```
data_Ac2Ga3Ni4Sn
_space_group_name_H-M_alt 'P -4 m 2'
_space_group_IT_number 115
_cell_length_a 4.4078
_cell_length_b 4.4078
_cell_length_c 9.9835
_cell_angle_alpha 90.00
_cell_angle_beta 90.00
_cell_angle_gamma 90.00
loop_
_space_group_symop_operation_xyz
'x,y,z'
'y,-x,-z'
'-x,-y,z'
'-y,x,-z'
'-x,y,z'
'-y,-x,-z'
'x,-y,z'
'y,x,-z'
loop_
_atom_site_label
_atom_site_type_symbol
_atom_site_fract_x
_atom_site_fract_y
_atom_site_fract_z
_atom_site_occupancy
Ac1 Ac 0.0000 0.5000 0.2366 1
Ga1 Ga 0.0000 0.5000 0.8906 1
Ga2 Ga 0.5000 0.5000 0.5000 1
Ni1 Ni 0.0000 0.0000 0.0000 1
Ni2 Ni 0.0000 0.5000 0.6405 1
Ni3 Ni 0.5000 0.5000 0.0000 1
Sn1 Sn 0.0000 0.0000 0.5000 1
```


Entry 2:
# SrPu4Te5

A relaxed SrPu4Te5 crystal (PBE-GGA, the Alexandria database).

E = -172.730 eV/cell
E_form (uncorrected) = -1.165 eV/atom

```
data_SrPu4Te5
_space_group_name_H-M_alt 'I 4/m m m'
_space_group_IT_number 139
_space_group_name_Hall '-I 4 2'
_cell_length_a 4.4853
_cell_length_b 4.4853
_cell_length_c 31.9944
_cell_angle_alpha 90.00
_cell_angle_beta 90.00
_cell_angle_gamma 90.00
loop_
_atom_site_label
_atom_site_type_symbol
_atom_site_fract_x
_atom_site_fract_y
_atom_site_fract_z
_atom_site_occupancy
Sr1 Sr 0.0000 0.0000 0.0000 1
Pu1 Pu 0.0000 0.0000 0.2019 1
Pu2 Pu 0.0000 0.0000 0.3988 1
Te1 Te 0.0000 0.0000 0.1025 1
Te2 Te 0.0000 0.0000 0.2996 1
Te3 Te 0.0000 0.0000 0.5000 1
```


Entry 3:
# LiHo2Ag2

A relaxed LiHo2Ag2 crystal (PBE-GGA, the Alexandria database).

E = -69.579 eV/cell
ΔH_f (0 K) = -125 meV per atom

```
data_LiHo2Ag2
_space_group_name_H-M_alt 'I b a m'
_space_group_IT_number 72
_space_group_name_Hall '-I 2 2c'
_cell_length_a 6.0995
_cell_length_b 13.0523
_cell_length_c 5.5376
_cell_angle_alpha 90.00
_cell_angle_beta 90.00
_cell_angle_gamma 90.00
loop_
_atom_site_label
_atom_site_type_symbol
_atom_site_fract_x
_atom_site_fract_y
_atom_site_fract_z
_atom_site_occupancy
Li1 Li 0.0000 0.0000 0.2500 1
Ho1 Ho 0.2207 0.1775 0.0000 1
Ag1 Ag 0.1720 0.4201 0.0000 1
```